1.
This record from Alexandria via LeMat-Bulk describes an optimized crystal structure of Tc3RhC. The functional is PBE.

Properties
symmetry: No. 221
formation energy from the elements: 3.117 eV/atom
density of states at the Fermi level: 1.45 states/eV/atom
E above lowest polymorph: 2.968 eV/atom

Cell: 4.6555 4.6555 4.6555 Å, 90.00 90.00 90.00°
Each line ends with the local moment (μB).
Positions (direct):
C (0.5000, 0.5000, 0.5000)  -0.33
Rh (0.0000, 0.0000, 0.0000)  -0.06
Tc (0.0000, 0.5000, 0.0000)  1.01
Tc (0.0000, 0.0000, 0.5000)  1.00
Tc (0.5000, 0.0000, 0.0000)  0.92

***

2.
This record from Alexandria via LeMat-Bulk describes an optimized crystal structure of Sm3HN2. The functional is PBE.

Properties
symmetry: No. 63
density of states at the Fermi level: 0.55 states/eV/atom
E above lowest polymorph: 0.235 eV/atom

Cell: 3.5072 6.3493 11.0981 Å, 90.00 90.00 106.03°
Positions (direct):
Sm (0.6127, 0.2255, 0.0815)
Sm (0.1041, 0.2081, 0.7500)
Sm (0.6127, 0.2255, 0.4185)
Sm (0.8959, 0.7919, 0.2500)
Sm (0.3873, 0.7745, 0.9185)
Sm (0.3873, 0.7745, 0.5815)
H (0.2285, 0.4571, 0.2500)
H (0.7715, 0.5429, 0.7500)
N (0.0000, 0.0000, 0.0000)
N (0.0000, 0.0000, 0.5000)
N (0.5103, 0.0206, 0.2500)
N (0.4897, 0.9794, 0.7500)

***

3.
This record from Alexandria via LeMat-Bulk describes an optimized crystal structure of Ba3SrNd2Cu6O14. The functional is PBE.

Properties
ΔE_f (raw): -1781 meV/atom
symmetry: No. 25
density of states at the Fermi level: 0.38 states/eV/atom

Cell: 3.8893 3.9107 23.6933 Å, 90.00 90.00 90.00°
Positions (direct):
Ba (0.5000, 0.5000, 0.4130)
Ba (0.5000, 0.5000, 0.9086)
Ba (0.5000, 0.5000, 0.0893)
Sr (0.5000, 0.5000, 0.5902)
Nd (0.5000, 0.5000, 0.2512)
Nd (0.5000, 0.5000, 0.7469)
Cu (0.0000, 0.0000, 0.3285)
Cu (0.0000, 0.0000, 0.8237)
Cu (0.0000, 0.0000, 0.1740)
Cu (0.0000, 0.0000, 0.6700)
Cu (0.0000, 0.0000, 0.9989)
Cu (0.0000, 0.0000, 0.5030)
O (0.5000, 0.0000, 0.3162)
O (0.5000, 0.0000, 0.8104)
O (0.0000, 0.5000, 0.3156)
O (0.0000, 0.5000, 0.8120)
O (0.5000, 0.0000, 0.1875)
O (0.5000, 0.0000, 0.6816)
O (0.0000, 0.5000, 0.1860)
O (0.0000, 0.5000, 0.6824)
O (0.0000, 0.0000, 0.4240)
O (0.0000, 0.0000, 0.9196)
O (0.0000, 0.0000, 0.0783)
O (0.0000, 0.0000, 0.5816)
O (0.5000, 0.0000, 0.9989)
O (0.0000, 0.5000, 0.5084)

***

4.
This record from Alexandria via LeMat-Bulk describes an optimized crystal structure of Tm8Ir2Rh. The functional is PBE.

Properties
symmetry: No. 12
formation energy from the elements: -0.592 eV/atom
density of states at the Fermi level: 0.97 states/eV/atom
E above lowest polymorph: 0.000 eV/atom

Cell: 4.8172 6.7705 8.8784 Å, 106.78 105.74 90.00°
Positions (direct):
Tm (0.4035, 0.5438, 0.8069)
Tm (0.6678, 0.9640, 0.3357)
Tm (0.7961, 0.6893, 0.5923)
Tm (0.9688, 0.2102, 0.9375)
Tm (0.2039, 0.3107, 0.4077)
Tm (0.3322, 0.0360, 0.6643)
Tm (0.5965, 0.4562, 0.1931)
Tm (0.0312, 0.7897, 0.0625)
Ir (0.8144, 0.2977, 0.6289)
Ir (0.1856, 0.7023, 0.3711)
Rh (0.5000, 0.0000, 0.0000)